Material: CePr2S4
Method: DFT, GGA-PBE
State: optimized geometry

Unit cell a=8.6082 b=8.6082 c=8.6609 alpha=90.00 beta=90.00 gamma=90.00
Space group I-42d (No. 122)
One atom of each set of equivalent atoms:
Ce  0.0000  0.0000  0.0000 (multiplicity 4)
Pr  0.1168  0.2500  0.6250 (multiplicity 8)
S  0.0749  0.1772  0.2990 (multiplicity 16)

Values from the calculation:
**DOS(E_F)**: 1.19 states/eV per atom
**Calculated volume**: 22.92 Å³/atom
**Energy above the most stable polymorph in this dataset**: 0 meV/atom
**Energy relative to the elements, uncorrected**: -2018 meV per atom

---

Material: HgTePd2
Method: DFT, GGA-PBE
State: optimized geometry

Unit cell a=6.7553 b=6.7553 c=6.7553 alpha=90.00 beta=90.00 gamma=90.00
Space group Fm-3m (No. 225)
One atom of each set of equivalent atoms:
Hg  0.0000  0.0000  0.0000 (multiplicity 4)
Te  0.0000  0.0000  0.5000 (multiplicity 4)
Pd  0.2500  0.2500  0.2500 (multiplicity 8)

Values from the calculation:
**DOS(E_F)**: 0.64 states/eV per atom
**Calculated volume**: 19.27 Å³/atom
**Energy above the most stable polymorph in this dataset**: 163 meV/atom
**Energy relative to the elements, uncorrected**: -90 meV per atom

---

Material: ZrInSn3
Method: DFT, GGA-PBE
State: optimized geometry

Unit cell a=5.4747 b=5.4747 c=5.4747 alpha=90.00 beta=90.00 gamma=90.00
Space group Pm-3m (No. 221)
One atom of each set of equivalent atoms:
Zr  0.0000  0.0000  0.0000 (multiplicity 1)
In  0.5000  0.5000  0.5000 (multiplicity 1)
Sn  0.0000  0.5000  0.5000 (multiplicity 3)

Values from the calculation:
**DOS(E_F)**: 1.27 states/eV per atom
**DFT formation energy**: 0.9311 eV/atom
**Calculated volume**: 32.82 Å³/atom
**Energy above the most stable polymorph in this dataset**: 706 meV/atom

---

Material: MoOsRh2
Method: DFT, GGA-PBE
State: optimized geometry

Unit cell a=2.7086 b=2.7086 c=7.9421 alpha=90.00 beta=90.00 gamma=90.00
Space group P4/mmm (No. 123)
One atom of each set of equivalent atoms:
Mo  0.0000  0.0000  0.0000 (multiplicity 1)
Os  0.0000  0.0000  0.5000 (multiplicity 1)
Rh  0.5000  0.5000  0.2576 (multiplicity 2)

Values from the calculation:
**DOS(E_F)**: 1.36 states/eV per atom
**DFT formation energy**: 0.0057 eV/atom
**Calculated volume**: 14.57 Å³/atom
**Energy above the most stable polymorph in this dataset**: 194 meV/atom

---

Material: CaMgZnAu2
Method: DFT, GGA-PBE
State: optimized geometry

Unit cell a=4.0965 b=4.0965 c=12.7786 alpha=90.00 beta=90.00 gamma=90.00
Space group I-4m2 (No. 119)
One atom of each set of equivalent atoms:
Ca  0.0000  0.0000  0.0000 (multiplicity 2)
Mg  0.0000  0.5000  0.2500 (multiplicity 2)
Zn  0.0000  0.5000  0.7500 (multiplicity 2)
Au  0.0000  0.0000  0.3906 (multiplicity 4)

Values from the calculation:
**DOS(E_F)**: 0.47 states/eV per atom
**DFT formation energy**: -0.5859 eV/atom
**Calculated volume**: 21.44 Å³/atom

---

Material: CsRb4Cd3F12
Method: DFT, GGA-PBE
State: optimized geometry

Unit cell a=9.3933 b=9.3933 c=9.3933 alpha=90.00 beta=90.00 gamma=90.00
Space group Im-3m (No. 229)
One atom of each set of equivalent atoms:
Cs  0.0000  0.0000  0.0000 (multiplicity 2)
Rb  0.2500  0.2500  0.2500 (multiplicity 8)
Cd  0.0000  0.0000  0.5000 (multiplicity 6)
F  0.0000  0.0000  0.2783 (multiplicity 12)
F  0.0000  0.2500  0.5000 (multiplicity 12)

Values from the calculation:
**DOS(E_F)**: 0.42 states/eV per atom
**Calculated volume**: 20.72 Å³/atom
**Energy relative to the elements, uncorrected**: -2340 meV per atom

---

Material: AlFe2TcH
Method: DFT, GGA-PBE
State: optimized geometry

Unit cell a=3.5937 b=3.5937 c=4.1609 alpha=90.00 beta=90.00 gamma=90.00
Space group P4/mmm (No. 123)
One atom of each set of equivalent atoms:
Al  0.0000  0.0000  0.0000 (multiplicity 1)
Fe  0.0000  0.5000  0.5000 (multiplicity 2)
Tc  0.5000  0.5000  0.0000 (multiplicity 1)
H  0.0000  0.0000  0.5000 (multiplicity 1)

Values from the calculation:
**DOS(E_F)**: 0.87 states/eV per atom
**Calculated volume**: 10.75 Å³/atom
**Energy above the most stable polymorph in this dataset**: 102 meV/atom

---

Material: Rb2In12Pt7
Method: DFT, GGA-PBE
State: optimized geometry

Unit cell a=11.1446 b=11.1446 c=4.4735 alpha=90.00 beta=90.00 gamma=120.00
Space group P-6 (No. 174)
One atom of each set of equivalent atoms:
Rb  0.0000  0.0000  0.0000 (multiplicity 1)
Rb  0.3333  0.6667  0.5000 (multiplicity 1)
In  0.0333  0.7586  0.5000 (multiplicity 3)
In  0.1317  0.4076  0.0000 (multiplicity 3)
In  0.3807  0.1850  0.0000 (multiplicity 3)
In  0.5468  0.1174  0.5000 (multiplicity 3)
Pt  0.0390  0.6002  0.0000 (multiplicity 3)
Pt  0.2633  0.0198  0.5000 (multiplicity 3)
Pt  0.6667  0.3333  0.0000 (multiplicity 1)

Values from the calculation:
**DOS(E_F)**: 0.34 states/eV per atom
**DFT formation energy**: -0.4006 eV/atom
**Calculated volume**: 22.91 Å³/atom